No. 1
Computed, not measured: a geometry-optimized Ag2OsAu structure at the PBE-GGA level of DFT.

Output
Fermi-level density of states	5.82	states/eV per cell
offset from the most stable computed form	677.6	meV/atom
symmetry	I-42d (122)
E_tot	-3.993	eV per atom
ΔH_f (0 K)	1.0593	eV/atom

Cell: 7.4867 7.4867 5.9492 Å, 51.01 51.01 90.00°
Each line ends with the local moment (μB).
Positions (direct):
1 Au 0.7500 0.2500 0.5000  0.09
2 Au 0.0000 0.0000 0.0000  0.09
3 Ag 0.8750 0.8692 0.7500  0.04
4 Ag 0.6192 0.1250 0.2500  0.05
5 Ag 0.1308 0.6250 0.2500  0.04
6 Ag 0.3750 0.3808 0.7500  0.05
7 Os 0.5000 0.5000 0.0000  1.81
8 Os 0.2500 0.7500 0.5000  1.81

No. 2
Computed, not measured: a geometry-optimized AgOsAu2 structure at the PBE-GGA level of DFT.

Output
Fermi-level density of states	2.92	states/eV per cell
offset from the most stable computed form	79.7	meV/atom
symmetry	Cmm2 (35)
E_tot	-4.720	eV per atom
ΔH_f (0 K)	0.4393	eV/atom

Cell: 2.7912 2.7912 10.0881 Å, 90.00 90.00 119.45°
Positions (direct):
1 Ag 0.5000 0.5000 0.7447
2 Au 0.0000 0.0000 0.9974
3 Au 0.5000 0.5000 0.2564
4 Os 0.0000 0.0000 0.5014

No. 3
Computed, not measured: a geometry-optimized Ag2OsAu structure at the PBE-GGA level of DFT.

Output
Fermi-level density of states	2.49	states/eV per cell
offset from the most stable computed form	103.9	meV/atom
symmetry	P2/m (10)
E_tot	-4.567	eV per atom
ΔH_f (0 K)	0.4855	eV/atom

Cell: 2.7166 5.0580 5.9236 Å, 55.19 90.00 90.00°
Positions (direct):
1 Ag 0.0000 0.0000 0.0000
2 Ag 0.5000 0.5000 0.0000
3 Os 0.0000 0.0000 0.5000
4 Au 0.5000 0.5000 0.5000

No. 4
Computed, not measured: a geometry-optimized AgOsAu2 structure at the PBE-GGA level of DFT.

Output
Fermi-level density of states	3.27	states/eV per cell
offset from the most stable computed form	143.7	meV/atom
symmetry	Pmmm (47)
E_tot	-4.656	eV per atom
ΔH_f (0 K)	0.5033	eV/atom

Cell: 4.1390 2.7270 6.6007 Å, 65.65 90.00 90.00°
Positions (direct):
1 Au 0.0000 0.5125 0.4880
2 Au 0.0000 0.9875 0.0120
3 Ag 0.5000 0.7500 0.7500
4 Os 0.5000 0.2500 0.2500

No. 5
Computed, not measured: a geometry-optimized Ag2OsAu structure at the PBE-GGA level of DFT.

Output
Fermi-level density of states	4.85	states/eV per cell
offset from the most stable computed form	364.4	meV/atom
symmetry	I4/mmm (139)
E_tot	-4.306	eV per atom
ΔH_f (0 K)	0.7460	eV/atom

Cell: 5.0320 5.0320 5.0320 Å, 132.56 132.56 69.35°
Each line ends with the local moment (μB).
Positions (direct):
1 Ag 0.0000 0.0000 0.0000  0.07
2 Ag 0.5000 0.5000 0.0000  0.07
3 Au 0.2500 0.7500 0.5000  0.03
4 Os 0.7500 0.2500 0.5000  1.33

No. 6
Computed, not measured: a geometry-optimized Ag2OsAu structure at the PBE-GGA level of DFT.

Output
Fermi-level density of states	3.09	states/eV per cell
offset from the most stable computed form	115.3	meV/atom
symmetry	P4/mmm (123)
E_tot	-4.556	eV per atom
ΔH_f (0 K)	0.4969	eV/atom

Cell: 2.7488 2.7488 8.9157 Å, 90.00 90.00 90.00°
Each line ends with the local moment (μB).
Positions (direct):
1 Ag 0.0000 0.0000 0.9933  0.01
2 Ag 0.0000 0.0000 0.5067  0.01
3 Os 0.5000 0.5000 0.7500  0.48
4 Au 0.5000 0.5000 0.2500  0.00

No. 7
Computed, not measured: a geometry-optimized AgOs2Au structure at the PBE-GGA level of DFT.

Output
Fermi-level density of states	2.31	states/eV per cell
offset from the most stable computed form	274.7	meV/atom
symmetry	Cm (8)
E_tot	-6.555	eV per atom
ΔH_f (0 K)	0.5923	eV/atom

Cell: 4.7932 4.7932 5.0755 Å, 81.63 81.63 33.65°
Positions (direct):
1 Os 0.0046 0.0046 0.9590
2 Os 0.7430 0.7430 0.7904
3 Ag 0.4990 0.4990 0.4843
4 Au 0.2535 0.2535 0.2663

No. 8
Computed, not measured: a geometry-optimized Ag2OsAu structure at the PBE-GGA level of DFT.

Output
Fermi-level density of states	1.71	states/eV per cell
offset from the most stable computed form	0.7	meV/atom
symmetry	R3m (160)
E_tot	-4.670	eV per atom
ΔH_f (0 K)	0.3823	eV/atom

Cell: 9.8583 9.8583 9.8583 Å, 16.41 16.41 16.41°
Positions (direct):
1 Ag 0.2504 0.2504 0.2504
2 Ag 0.0020 0.0020 0.0020
3 Os 0.7500 0.7500 0.7500
4 Au 0.4976 0.4976 0.4976